[1]
## CsNbSeO5 (PBE-GGA)

Data for a relaxed structure of CsNbSeO5.

Crystal system: monoclinic
Energy relative to the elements, uncorrected (eV per atom): -1.575

```
CsNbSeO5
1.0
-5.7932 -0.1457 2.2085
3.3610 -3.1628 4.1425
2.0346 7.2110 1.6188
Cs Nb Se O
2 2 2 10
Direct
0.3468 0.6532 0.2500
0.6532 0.3468 0.7500
0.0000 0.0000 0.5000
0.0000 0.0000 0.0000
0.6905 0.3095 0.2500
0.3095 0.6905 0.7500
0.0533 0.9467 0.2500
0.9467 0.0533 0.7500
0.8872 0.2911 0.1205
0.1128 0.7089 0.8795
0.7089 0.1128 0.3795
0.2911 0.8872 0.6205
0.8278 0.6714 0.4422
0.1722 0.3286 0.5578
0.3286 0.1722 0.0578
0.6714 0.8278 0.9422
```

***

[2]
## In2NiAs (PBE-GGA)

Data for a relaxed structure of In2NiAs.

Crystal system: tetragonal
Formation enthalpy at 0 K (eV per atom): 0.245

```
In2NiAs
1.0
5.1452 -0.0430 0.0000
1.5060 4.9201 0.0000
-3.3256 -2.4386 3.0772
As In Ni
1 2 1
Direct
0.7500 0.2500 0.5000
0.0000 0.0000 0.0000
0.5000 0.5000 0.0000
0.2500 0.7500 0.5000
```

***

[3]
## CaSi2H (PBE-GGA)

Data for a relaxed structure of CaSi2H.

Energy above the lowest structure with this stoichiometry (eV per atom): 1.061
Crystal system: cubic

```
CaSi2H
1.0
-3.4604 1.0846 2.9130
-1.7088 4.3256 0.0733
-4.2609 0.8459 -1.6629
H Ca Si
1 1 2
Direct
0.0000 0.0000 0.0000
0.5000 0.5000 0.5000
0.2500 0.2500 0.2500
0.7500 0.7500 0.7500
```

***

[4]
## TmGe2Rh2 (PBE-GGA)

Data for a relaxed structure of TmGe2Rh2.

Crystal system: tetragonal
Formation enthalpy at 0 K (eV per atom): -0.861

```
TmGe2Rh2
1.0
-1.6412 -3.9213 -4.1291
4.0132 -2.7380 -3.3937
-0.9920 1.1848 5.7212
Tm Ge Rh
1 2 2
Direct
0.0000 0.0000 0.0000
0.3796 0.3796 0.0000
0.6204 0.6204 0.0000
0.7500 0.2500 0.5000
0.2500 0.7500 0.5000
```

***

| no. | total moment (μB/f.u.) |
| --- | --- |
| 1 | 0.000 |
| 2 | 0.000 |
| 3 | 0.000 |
| 4 | 0.000 |